# 1
Computed, not measured: a crystal of Na2ZnPt relaxed with PBEsol at the SCAN level of DFT.

Computed properties:
- E_form (kJ per mole of atoms) = 0.72
- symmetry = I-42d, No. 122

Cell: 3.736 3.736 10.641 Å, 100.11 100.11 90.00°
Fractional positions:
Pt  0.250  0.750  0.500
Pt  0.000  0.000  0.000
Na  0.879  0.375  0.250
Na  0.625  0.629  0.750
Na  0.371  0.875  0.250
Na  0.125  0.121  0.750
Zn  0.750  0.250  0.500
Zn  0.500  0.500  0.000

***

# 2
Computed, not measured: a crystal of Y2Ga3Cu relaxed with PBEsol at the SCAN level of DFT.

Computed properties:
- E_form (kJ per mole of atoms) = -70.61
- symmetry = P3m1, No. 156

Cell: 4.310 4.310 7.132 Å, 90.00 90.00 120.00°
Fractional positions:
Ga  0.667  0.333  0.541
Ga  0.667  0.333  0.981
Ga  0.000  0.000  0.453
Y  0.333  0.667  0.233
Y  0.333  0.667  0.761
Cu  0.000  0.000  0.031

***

# 3
Computed, not measured: a crystal of Mn2FeTc relaxed with PBEsol at the SCAN level of DFT.

Computed properties:
- E_form (kJ per mole of atoms) = 21.12
- symmetry = R3m, No. 160

Cell: 2.535 2.535 8.283 Å, 81.20 81.20 60.00°
Each line ends with the local moment (μB).
Fractional positions:
Fe  0.254  0.254  0.238  2.18
Mn  0.745  0.745  0.765  1.91
Mn  0.001  0.001  0.998  -2.18
Tc  0.500  0.500  0.499  -0.29

***

# 4
Computed, not measured: a crystal of LaIr3 relaxed with PBEsol at the SCAN level of DFT.

Computed properties:
- E_form (kJ per mole of atoms) = -2.66
- symmetry = C2/m, No. 12

Cell: 2.863 4.919 5.324 Å, 99.27 90.00 106.92°
Fractional positions:
Ir  0.260  0.521  0.304
Ir  0.740  0.479  0.696
Ir  0.000  0.000  0.500
La  0.500  0.000  0.000

***

# 5
Computed, not measured: a crystal of SrInTcMo2 relaxed with PBEsol at the SCAN level of DFT.

Computed properties:
- E_form (kJ per mole of atoms) = 228.71
- symmetry = P4/mmm, No. 123

Cell: 5.023 5.023 5.504 Å, 90.00 90.00 90.00°
Each line ends with the local moment (μB).
Fractional positions:
Mo  0.500  0.000  0.000  1.41
Mo  0.000  0.500  0.000  1.41
In  0.000  0.000  0.000  0.01
Tc  0.500  0.500  0.500  3.52
Sr  0.000  0.000  0.500  0.00

***

# 6
Computed, not measured: a crystal of ZrCo2Pt relaxed with PBEsol at the SCAN level of DFT.

Computed properties:
- E_form (kJ per mole of atoms) = 6.47
- symmetry = R3m, No. 160

Cell: 2.751 2.751 8.820 Å, 81.03 81.03 60.00°
Each line ends with the local moment (μB).
Fractional positions:
Zr  0.253  0.253  0.241  -0.01
Co  0.010  0.010  0.971  1.91
Co  0.744  0.744  0.767  2.01
Pt  0.493  0.493  0.521  0.12

***

# 7
Computed, not measured: a crystal of Tl2TcAg relaxed with PBEsol at the SCAN level of DFT.

Computed properties:
- E above lowest polymorph (eV per atom) = 0.0216
- E_form (kJ per mole of atoms) = 61.89
- symmetry = R3m, No. 160

Cell: 3.029 3.029 10.261 Å, 81.51 81.51 60.00°
Each line ends with the local moment (μB).
Fractional positions:
Tl  0.990  0.990  0.031  0.00
Tl  0.756  0.756  0.731  0.01
Ag  0.508  0.508  0.475  0.04
Tc  0.246  0.246  0.262  1.47

***

# 8
Computed, not measured: a crystal of Ge2RhPbI relaxed with PBEsol at the SCAN level of DFT.

Computed properties:
- symmetry = P4/mmm, No. 123
- formation energy without anion corrections (eV/f.u.) = 5.52

Cell: 4.771 5.427 5.427 Å, 90.00 90.00 90.00°
Fractional positions:
Rh  0.500  0.000  0.000
Pb  0.500  0.500  0.500
Ge  0.000  0.500  0.000
Ge  0.000  0.000  0.500
I  0.000  0.000  0.000

***

# 9
Computed, not measured: a crystal of Si2AsSe relaxed with PBEsol at the SCAN level of DFT.

Computed properties:
- E above lowest polymorph (eV per atom) = 0.0551
- symmetry = C2/m, No. 12
- formation energy without anion corrections (eV/f.u.) = 2.79

Cell: 2.745 5.358 5.471 Å, 116.63 99.79 99.51°
Fractional positions:
As  0.000  0.500  0.000
Se  0.500  0.000  0.000
Si  0.000  0.000  0.500
Si  0.500  0.500  0.500

***

# 10
Computed, not measured: a crystal of Sr4In17Au15 relaxed with PBEsol at the SCAN level of DFT.

Computed properties:
- E_form (kJ per mole of atoms) = -50.64
- symmetry = Pm, No. 6

Cell: 4.320 12.869 14.429 Å, 90.38 90.00 90.00°
Fractional positions:
Au  0.000  0.404  0.879
Au  0.500  0.914  0.620
Au  0.500  0.272  0.615
Au  0.000  0.748  0.390
Au  0.500  0.615  0.310
Au  0.500  0.240  0.109
Au  0.500  0.588  0.118
Au  0.500  0.392  0.381
Au  0.500  0.097  0.893
Au  0.500  0.885  0.812
Au  0.000  0.610  0.612
Au  0.000  0.093  0.384
Au  0.000  0.106  0.191
Au  0.000  0.889  0.113
Au  0.000  0.753  0.891
In  0.000  0.398  0.689
In  0.000  0.210  0.983
In  0.500  0.285  0.810
In  0.000  0.580  0.995
In  0.500  0.782  0.019
In  0.000  0.920  0.498
In  0.000  0.700  0.200
In  0.500  0.411  0.003
In  0.500  0.482  0.561
In  0.500  0.094  0.509
In  0.500  0.198  0.298
In  0.000  0.287  0.478
In  0.000  0.801  0.700
In  0.500  0.721  0.517
In  0.500  0.025  0.081
In  0.000  0.533  0.414
In  0.000  0.965  0.924
Sr  0.500  0.599  0.792
Sr  0.500  0.907  0.293
Sr  0.000  0.402  0.205
Sr  0.000  0.092  0.711

***

# 11
Computed, not measured: a crystal of ZnAs2Br relaxed with PBEsol at the SCAN level of DFT.

Computed properties:
- E above lowest polymorph (eV per atom) = 0.5862
- symmetry = Cmmm, No. 65
- formation energy without anion corrections (eV/f.u.) = 1.68

Cell: 2.678 5.124 6.881 Å, 111.86 90.00 90.00°
Fractional positions:
Br  0.500  0.000  0.000
Zn  0.500  0.500  0.000
As  0.000  0.000  0.500
As  0.000  0.500  0.500

***

# 12
Computed, not measured: a crystal of TaMo relaxed with PBEsol at the SCAN level of DFT.

Computed properties:
- E_form (kJ per mole of atoms) = -11.88
- symmetry = Pmmm, No. 47

Cell: 3.187 4.547 9.006 Å, 90.00 90.00 90.00°
Fractional positions:
Mo  0.000  0.500  0.000
Mo  0.000  0.000  0.756
Mo  0.500  0.000  0.000
Mo  0.000  0.000  0.244
Ta  0.000  0.500  0.500
Ta  0.500  0.000  0.500
Ta  0.500  0.500  0.242
Ta  0.500  0.500  0.758

***

# 13
Computed, not measured: a crystal of SiRuI2O relaxed with PBEsol at the SCAN level of DFT.

Computed properties:
- symmetry = P4/mmm, No. 123
- formation energy without anion corrections (eV/f.u.) = 1.15

Cell: 3.662 5.461 5.461 Å, 90.00 90.00 90.00°
Fractional positions:
I  0.000  0.500  0.000
I  0.000  0.000  0.500
Ru  0.000  0.000  0.000
Si  0.500  0.500  0.500
O  0.500  0.000  0.000

***

# 14
Computed, not measured: a crystal of GaMoNF2 relaxed with PBEsol at the SCAN level of DFT.

Computed properties:
- symmetry = P4/mmm, No. 123
- formation energy without anion corrections (eV/f.u.) = -3.00

Cell: 3.838 3.838 3.977 Å, 90.00 90.00 90.00°
Each line ends with the local moment (μB).
Fractional positions:
F  0.000  0.500  0.000  0.06
F  0.500  0.000  0.000  0.06
N  0.000  0.000  0.500  -0.10
Mo  0.500  0.500  0.500  3.70
Ga  0.000  0.000  0.000  0.01

***

# 15
Computed, not measured: a crystal of Be3Br relaxed with PBEsol at the SCAN level of DFT.

Computed properties:
- symmetry = Pm-3m, No. 221
- formation energy without anion corrections (eV/f.u.) = 5.01

Cell: 3.759 3.759 3.759 Å, 90.00 90.00 90.00°
Fractional positions:
Br  0.000  0.000  0.000
Be  0.500  0.000  0.500
Be  0.500  0.500  0.000
Be  0.000  0.500  0.500

***

# 16
Computed, not measured: a crystal of LiZnSi2 relaxed with PBEsol at the SCAN level of DFT.

Computed properties:
- symmetry = Pmm2, No. 25
- formation energy without anion corrections (eV/f.u.) = 0.40

Cell: 2.637 4.394 5.023 Å, 90.00 90.00 90.00°
Fractional positions:
Li  0.500  0.500  0.252
Si  0.000  0.500  0.757
Si  0.000  0.000  0.002
Zn  0.000  0.000  0.490

***

# 17
Computed, not measured: a crystal of Ca2Hg relaxed with PBEsol at the SCAN level of DFT.

Computed properties:
- E_form (kJ per mole of atoms) = -48.80
- symmetry = Cmc2_1, No. 36

Cell: 3.960 7.021 7.177 Å, 90.00 90.00 106.38°
Fractional positions:
Ca  0.788  0.577  0.580
Ca  0.523  0.045  0.767
Ca  0.212  0.423  0.080
Ca  0.477  0.955  0.267
Hg  0.884  0.768  0.983
Hg  0.116  0.232  0.483

***

# 18
Computed, not measured: a crystal of Sc3InRu relaxed with PBEsol at the SCAN level of DFT.

Computed properties:
- E above lowest polymorph (eV per atom) = 1.2786
- E_form (kJ per mole of atoms) = 95.90
- symmetry = Pm-3m, No. 221

Cell: 5.122 5.122 5.122 Å, 90.00 90.00 90.00°
Each line ends with the local moment (μB).
Fractional positions:
Ru  0.500  0.500  0.500  1.97
In  0.000  0.000  0.000  -0.03
Sc  0.500  0.000  0.000  -0.31
Sc  0.000  0.500  0.000  -0.31
Sc  0.000  0.000  0.500  -0.31

***

# 19
Computed, not measured: a crystal of BaNa2Se2 relaxed with PBEsol at the SCAN level of DFT.

Computed properties:
- symmetry = I4/mmm, No. 139
- formation energy without anion corrections (eV/f.u.) = -7.74

Cell: 4.299 4.299 7.936 Å, 105.71 105.71 90.00°
Fractional positions:
Se  0.379  0.379  0.757
Se  0.621  0.621  0.243
Ba  0.000  0.000  0.000
Na  0.750  0.250  0.500
Na  0.250  0.750  0.500

***

# 20
Computed, not measured: a crystal of BeTcIr2 relaxed with PBEsol at the SCAN level of DFT.

Computed properties:
- E_form (kJ per mole of atoms) = -27.59
- symmetry = P2/m, No. 10

Cell: 2.688 3.882 5.049 Å, 90.00 103.91 90.00°
Fractional positions:
Tc  0.500  0.500  0.000
Be  0.500  0.500  0.500
Ir  0.874  0.000  0.735
Ir  0.126  0.000  0.265

***

# 21
Computed, not measured: a crystal of ZrGaPtW2 relaxed with PBEsol at the SCAN level of DFT.

Computed properties:
- E_form (kJ per mole of atoms) = 130.34
- symmetry = P4/mmm, No. 123

Cell: 4.753 4.753 4.952 Å, 90.00 90.00 90.00°
Fractional positions:
Zr  0.000  0.000  0.500
Pt  0.000  0.000  0.000
W  0.500  0.000  0.000
W  0.000  0.500  0.000
Ga  0.500  0.500  0.500

***

# 22
Computed, not measured: a crystal of InCu2Pt2 relaxed with PBEsol at the SCAN level of DFT.

Computed properties:
- E_form (kJ per mole of atoms) = 4.82
- symmetry = I4/mmm, No. 139

Cell: 3.780 3.780 6.218 Å, 107.70 107.70 90.00°
Fractional positions:
Pt  0.250  0.750  0.500
Pt  0.750  0.250  0.500
Cu  0.601  0.601  0.203
Cu  0.399  0.399  0.797
In  0.000  0.000  0.000

***

# 23
Computed, not measured: a crystal of Ti2TlHgAs relaxed with PBEsol at the SCAN level of DFT.

Computed properties:
- E_form (kJ per mole of atoms) = 101.13
- symmetry = P4/mmm, No. 123

Cell: 5.093 5.137 5.137 Å, 90.00 90.00 90.00°
Each line ends with the local moment (μB).
Fractional positions:
Hg  0.500  0.000  0.000  -0.03
Ti  0.000  0.500  0.000  1.24
Ti  0.000  0.000  0.500  1.24
As  0.500  0.500  0.500  -0.25
Tl  0.000  0.000  0.000  -0.01

***

# 24
Computed, not measured: a crystal of TiBC2 relaxed with PBEsol at the SCAN level of DFT.

Computed properties:
- E_form (kJ per mole of atoms) = 162.38
- symmetry = Fm-3m, No. 225

Cell: 3.578 3.578 3.578 Å, 60.00 60.00 60.00°
Fractional positions:
Ti  0.500  0.500  0.500
C  0.250  0.250  0.250
C  0.750  0.750  0.750
B  0.000  0.000  0.000

***

# 25
Computed, not measured: a crystal of LiAlRu2 relaxed with PBEsol at the SCAN level of DFT.

Computed properties:
- E_form (kJ per mole of atoms) = -14.35
- symmetry = P2/m, No. 10

Cell: 2.669 4.083 4.825 Å, 90.00 97.48 90.00°
Fractional positions:
Al  0.500  0.500  0.000
Li  0.000  0.500  0.500
Ru  0.770  0.000  0.738
Ru  0.230  0.000  0.262

***

Number 1: E_tot -184.2 eV for the cell shown, M_tot 0.00 μB/atom. Number 2: E_tot -124.3 eV for the cell shown, M_tot 0.00 μB/atom. Number 3: E_tot -88.8 eV for the cell shown, M_tot 0.40 μB/atom. Number 4: E_tot -256.5 eV for the cell shown, M_tot 0.00 μB/atom. Number 5: E_tot -148.6 eV for the cell shown, M_tot 1.43 μB/atom. Number 6: E_tot -135.2 eV for the cell shown, M_tot 0.98 μB/atom. Number 7: E_tot -208.6 eV for the cell shown, M_tot 0.39 μB/atom. Number 8: E_tot -178.9 eV for the cell shown, M_tot 0.00 μB/atom. Number 9: E_tot -57.5 eV for the cell shown, M_tot 0.00 μB/atom. Number 10: E_tot -1712.9 eV for the cell shown, M_tot 0.00 μB/atom. Number 11: E_tot -71.7 eV for the cell shown, M_tot 0.00 μB/atom. Number 12: E_tot -406.9 eV for the cell shown, M_tot 0.00 μB/atom. Number 13: E_tot -123.4 eV for the cell shown, M_tot 0.00 μB/atom. Number 14: E_tot -70.6 eV for the cell shown, M_tot 0.80 μB/atom. Number 15: E_tot -27.5 eV for the cell shown, M_tot 0.00 μB/atom. Number 16: E_tot -35.5 eV for the cell shown, M_tot 0.00 μB/atom. Number 17: E_tot -178.0 eV for the cell shown, M_tot 0.00 μB/atom. Number 18: E_tot -106.0 eV for the cell shown, M_tot 0.02 μB/atom. Number 19: E_tot -95.9 eV for the cell shown, M_tot 0.00 μB/atom. Number 20: E_tot -182.8 eV for the cell shown, M_tot 0.00 μB/atom. Number 21: E_tot -249.9 eV for the cell shown, M_tot 0.00 μB/atom. Number 22: E_tot -203.9 eV for the cell shown, M_tot 0.00 μB/atom. Number 23: E_tot -187.5 eV for the cell shown, M_tot 0.50 μB/atom. Number 24: E_tot -36.9 eV for the cell shown, M_tot 0.00 μB/atom. Number 25: E_tot -80.4 eV for the cell shown, M_tot 0.00 μB/atom.